Density functional theory data (PBE) for an optimized crystal structure of Cr2CdInAs.

Cell: 5.2396 5.2396 5.1241 Å, 90.00 90.00 90.00°
With the nearest neighbours (Å) after each atom.
Atoms (fractional coordinates):
Cr  0.0000  0.5000  0.0000  2 In 2.62
Cr  0.5000  0.0000  0.0000  2 In 2.62
Cd  0.0000  0.0000  0.5000  8 Cr 3.66, 4 As 3.70
In  0.5000  0.5000  0.0000  2 As 2.56, 4 Cr 2.62
As  0.5000  0.5000  0.5000  2 In 2.56

Summary:
crystal system = tetragonal
calculated volume = 140.7 Å³ per cell
energy = -4.35 eV per atom
N(E_F) = 0.624 states/eV/atom
total moment = 8.57 μB per formula unit
calculated density = 4.8 Mg/m³
SG = No. 123